VASP calculation (PBE with a Hubbard U) on an optimized crystal structure of Na2FeTcF8.

Values from the calculation:
Size of the total moment, μB/f.u.: 1.00
SG: No. 10
DFT total energy, eV/atom: -5.26

Lattice parameters (Å, degrees): 5.071 5.059 6.754 90.00 90.00 93.26
Last column: magnetic moment on the atom in μB.
Positions (direct):
1 F 0.722 0.725 0.500  0.03
2 F 0.716 0.721 0.000  -0.07
3 F 0.284 0.279 0.000  -0.07
4 F 0.175 0.821 0.779  -0.04
5 F 0.175 0.821 0.221  -0.04
6 F 0.278 0.275 0.500  0.03
7 F 0.825 0.179 0.779  -0.04
8 F 0.825 0.179 0.221  -0.04
9 Na 0.500 0.500 0.259  0.00
10 Na 0.500 0.500 0.741  0.00
11 Tc 0.000 0.000 0.000  -2.43
12 Fe 0.000 0.000 0.500  3.79

***

VASP calculation (PBE with a Hubbard U) on an optimized crystal structure of RuWN2F.

Values from the calculation:
Size of the total moment, μB/f.u.: 3.77
SG: No. 123
DFT total energy, eV/atom: -6.45

Lattice parameters (Å, degrees): 4.042 4.042 4.049 90.00 90.00 90.00
Last column: magnetic moment on the atom in μB.
Positions (direct):
1 N 0.000 0.500 0.000  -0.17
2 N 0.500 0.000 0.000  -0.17
3 F 0.000 0.000 0.500  0.06
4 Ru 0.500 0.500 0.500  2.66
5 W 0.000 0.000 0.000  1.22

***

size of the total moment of number 2 (RuWN2F)? 3.77 μB/f.u.